# 1
3
Lattice="3.8705 0.0000 0.0000 0.0000 3.8705 0.0000 -1.9353 -1.9353 5.7887" Properties=species:S:1:pos:R:3 comment="SmLuTe, optimized geometry, DFT PBE-GGA" relative_energy_mev_per_atom=0.0 space_group="I4mm, No. 107" raw_formation_energy_ev_per_atom=-0.76 magnetic_moment_mub_per_cell=0.00 pbc="T T T"
Lu 0.0000 0.0000 3.6925
Te 1.9353 1.9353 2.0315
Sm 0.0000 0.0000 0.0647

=====

# 2
4
Lattice="-0.2195 -8.1718 3.5705 2.7690 -7.7305 3.4854 1.1508 -6.6722 5.8079" Properties=species:S:1:pos:R:3 comment="Li2CdP, optimized geometry, DFT PBE-GGA" space_group="R-3m, No. 166" magnetic_moment_mub_per_cell=0.00 delta_e_f_ev_per_atom=-0.228 pbc="T T T"
Cd 2.7752 -16.9309 9.6478
Li 3.6428 -22.2237 12.6639
Li 1.9076 -11.6381 6.6318
P 0.9251 -5.6436 3.2159

=====

# 3
20
Lattice="7.0160 0.0000 0.0000 -2.3387 6.6147 0.0000 -2.3387 -3.3074 5.7285" Properties=species:S:1:pos:R:3 comment="HfNi4, optimized geometry, DFT PBE-GGA" space_group="I-43m, No. 217" magnetic_moment_mub_per_cell=0.00 delta_e_f_ev_per_atom=-0.178 pbc="T T T"
Hf 3.9335 0.0000 0.0000
Hf -1.3112 3.7085 0.0000
Hf 1.0275 1.4531 2.5168
Hf -1.3112 -1.8543 3.2117
Ni 1.4599 0.0000 0.0000
Ni -0.4866 1.3764 0.0000
Ni 1.8520 2.6191 4.5365
Ni -0.4866 -0.6882 1.1920
Ni 1.6305 -1.1530 1.9970
Ni 3.0468 -2.1544 3.7315
Ni -3.0468 2.1544 3.7315
Ni -1.6305 1.1530 1.9970
Ni 1.6305 2.3059 0.0000
Ni 3.0468 4.3088 0.0000
Ni -1.1693 0.8268 4.2964
Ni 3.5080 2.4805 1.4321
Ni 1.1693 -0.8268 4.2964
Ni 1.1693 4.1342 1.4321
Ni 3.5080 0.0000 2.8643
Ni -1.1693 3.3074 2.8643

=====

# 4
24
Lattice="-3.2049 3.2543 -1.6915 -7.1285 -5.3537 1.5634 -2.2174 9.5378 22.5512" Properties=species:S:1:pos:R:3 comment="Br3Cl, optimized geometry, DFT PBE-GGA" space_group="P2_1/m, No. 11" raw_formation_energy_ev_per_atom=0.05 magnetic_moment_mub_per_cell=0.00 pbc="T T T"
Br -2.6953 4.7746 12.9857
Br -3.4948 8.2137 21.1172
Br -4.4561 -0.1813 6.3393
Br -8.0947 7.6197 16.0838
Br -9.0559 -0.7753 1.3059
Br -9.8555 2.6638 9.4374
Br -9.2786 3.4971 17.7110
Br -4.0614 -0.2485 1.9288
Br -4.8022 2.9383 9.4636
Br -4.0051 6.9145 12.5697
Br -4.7024 9.9139 19.6614
Br -6.6035 0.9799 5.6371
Br -5.9473 6.4585 16.7860
Br -7.8484 -2.4755 2.7617
Br -8.5457 0.5238 9.8534
Br -3.2722 3.9413 4.7121
Br -7.7485 4.5001 12.9595
Br -8.4894 7.6868 20.4943
Cl -0.9324 2.5306 5.5388
Cl -6.8824 2.6561 13.8229
Cl -7.6235 5.8440 21.3605
Cl -11.6184 4.9078 16.8843
Cl -4.9272 1.5944 1.0626
Cl -5.6684 4.7823 8.6002

=====

# 5
6
Lattice="-4.1331 -2.3739 -1.6048 3.0716 -2.2443 3.2897 -6.1370 4.6612 8.9101" Properties=species:S:1:pos:R:3 comment="CaHfMg, optimized geometry, DFT PBE-GGA" relative_energy_mev_per_atom=1928.9 space_group="P6_3/mmc, No. 194" magnetic_moment_mub_per_cell=3.89 delta_e_f_ev_per_atom=2.102 pbc="T T T"
Ca -1.5342 1.1653 2.2275
Ca -4.6027 3.4959 6.6826
Hf 0.0000 0.0000 0.0000
Hf -3.0685 2.3306 4.4551
Mg -0.8642 -1.1222 3.8857
Mg -6.3343 1.1652 6.7092

=====

| no. | mass density (Mg/m³) |
| --- | --- |
| 1 | 8.67 |
| 2 | 3.77 |
| 3 | 10.33 |
| 4 | 2.53 |
| 5 | 3.13 |